Record 1
Material: HfPaTc4
Method: DFT, PBE
State: relaxed

crystal system = cubic
calculated formation energy = -0.95 eV per formula unit

abc: 5.3348 5.3348 5.3348
angles: 60.00 60.00 60.00
With the nearest neighbours (Å) after each atom.
Sites, in units of the cell vectors:
Hf  0.0000  0.0000  0.0000  12 Tc 3.13, 4 Pa 3.27
Pa  0.7500  0.7500  0.7500  12 Tc 3.13, 4 Hf 3.27
Tc  0.3743  0.3743  0.3743  6 Tc 2.65-2.68
Tc  0.3743  0.3743  0.8772  6 Tc 2.65-2.68
Tc  0.3743  0.8772  0.3743  6 Tc 2.65-2.68
Tc  0.8772  0.3743  0.3743  6 Tc 2.65-2.68

---

Record 2
Material: Ac2CeMg
Method: DFT, PBE
State: relaxed

polymorph energy (0 for the lowest one) = 0.00 kJ per mole of atoms
crystal system = tetragonal
calculated formation energy = 0.25 eV per formula unit

abc: 3.8567 3.8567 9.7495
angles: 90.00 90.00 90.00
With the nearest neighbours (Å) after each atom.
Sites, in units of the cell vectors:
Ac  0.0000  0.0000  0.2388  4 Mg 3.59, 4 Ce 3.73, 4 Ac 3.86
Ac  0.0000  0.0000  0.7612  4 Mg 3.59, 4 Ce 3.73, 4 Ac 3.86
Ce  0.5000  0.5000  0.5000  8 Ac 3.73, 4 Ce 3.86
Mg  0.5000  0.5000  0.0000  8 Ac 3.59, 4 Mg 3.86

---

Record 3
Material: CsCoI3
Method: DFT, PBE
State: relaxed

crystal system = monoclinic
ΔE_f (raw) = -0.636 eV/atom

abc: 8.2988 9.2234 14.8166
angles: 90.00 124.01 90.00
With the nearest neighbours (Å) after each atom.
Sites, in units of the cell vectors:
Cs  0.2093  0.0784  0.2457  9 I 3.99-4.33
Cs  0.2093  0.4216  0.7457  9 I 3.99-4.33
Cs  0.7907  0.5784  0.2543  9 I 3.99-4.33
Cs  0.7907  0.9216  0.7543  9 I 3.99-4.33
Co  0.0802  0.5984  0.0495  1 Co 2.24
Co  0.0802  0.9016  0.5495  1 Co 2.24
Co  0.9198  0.0984  0.4505  1 Co 2.24
Co  0.9198  0.4016  0.9505  1 Co 2.24
I  0.1665  0.2169  0.9737  1 Co 2.53
I  0.1665  0.2831  0.4737  1 Co 2.53
I  0.2727  0.6890  0.9756  1 Co 2.53
I  0.2727  0.8110  0.4756  1 Co 2.53
I  0.2944  0.5063  0.2427  1 Co 2.53
I  0.2944  0.9937  0.7427  1 Co 2.53
I  0.7056  0.0063  0.2573  1 Co 2.53
I  0.7056  0.4937  0.7573  1 Co 2.53
I  0.7273  0.1890  0.5244  1 Co 2.53
I  0.7273  0.3110  0.0244  1 Co 2.53
I  0.8335  0.7169  0.5263  1 Co 2.53
I  0.8335  0.7831  0.0263  1 Co 2.53

---

Record 4
Material: Pr2SmAl
Method: DFT, PBE
State: relaxed

polymorph energy (0 for the lowest one) = 1.11 kJ per mole of atoms
crystal system = tetragonal
calculated formation energy = -0.65 eV per formula unit

abc: 4.9018 4.9018 4.9127
angles: 90.00 90.00 90.00
With the nearest neighbours (Å) after each atom.
Sites, in units of the cell vectors:
Pr  0.0000  0.5000  0.0000  4 Pr 3.47, 4 Al 3.47, 4 Sm 3.47
Pr  0.5000  0.0000  0.0000  4 Pr 3.47, 4 Al 3.47, 4 Sm 3.47
Sm  0.0000  0.0000  0.5000  4 Al 3.47, 8 Pr 3.47
Al  0.5000  0.5000  0.5000  4 Sm 3.47, 8 Pr 3.47

---

Record 5
Material: ReTeAs
Method: DFT, PBE
State: relaxed

polymorph energy (0 for the lowest one) = 0.00 kJ per mole of atoms
crystal system = tetragonal
ΔE_f (raw) = 0.237 eV/atom

abc: 6.7229 6.7229 6.7229
angles: 153.03 153.03 38.52
With the nearest neighbours (Å) after each atom.
Sites, in units of the cell vectors:
Re  0.0000  0.0000  0.0000  4 As 2.69, 4 Te 2.81
Te  0.6361  0.6361  0.0000  4 Re 2.81, 4 Te 3.14
As  0.3803  0.3803  0.0000  4 Re 2.69

---

Record 6
Material: CsSc2VFe
Method: DFT, PBE
State: relaxed

crystal system = tetragonal
calculated formation energy = 4.74 eV per formula unit

abc: 5.3998 5.3998 4.1572
angles: 90.00 90.00 90.00
With the nearest neighbours (Å) after each atom.
Sites, in units of the cell vectors:
Cs  0.0000  0.0000  0.0000  8 Sc 3.41
Sc  0.0000  0.5000  0.5000  2 V 2.70
Sc  0.5000  0.0000  0.5000  2 V 2.70
V  0.5000  0.5000  0.5000  2 Fe 2.08
Fe  0.5000  0.5000  0.0000  2 V 2.08

---

Record 7
Material: CaPa6N8
Method: DFT, PBE
State: relaxed

crystal system = trigonal
ΔE_f (raw) = -1.389 eV/atom

abc: 6.7312 6.7312 6.7312
angles: 99.23 99.23 99.23
With the nearest neighbours (Å) after each atom.
Sites, in units of the cell vectors:
Ca  0.0000  0.0000  0.0000  2 N 2.42
Pa  0.1645  0.3177  0.5614  5 N 2.25-2.34
Pa  0.3177  0.5614  0.1645  5 N 2.25-2.34
Pa  0.4386  0.8356  0.6823  5 N 2.25-2.34
Pa  0.5614  0.1645  0.3177  5 N 2.25-2.34
Pa  0.6823  0.4386  0.8355  5 N 2.25-2.34
Pa  0.8355  0.6823  0.4386  5 N 2.25-2.34
N  0.1678  0.6271  0.4528  4 Pa 2.29-2.34
N  0.2514  0.2514  0.2514  3 Pa 2.25, 1 Ca 2.42
N  0.3729  0.5472  0.8322  4 Pa 2.29-2.34
N  0.4528  0.1678  0.6271  4 Pa 2.29-2.34
N  0.5472  0.8322  0.3729  4 Pa 2.29-2.34
N  0.6271  0.4528  0.1678  4 Pa 2.29-2.34
N  0.7486  0.7486  0.7486  3 Pa 2.25, 1 Ca 2.42
N  0.8322  0.3729  0.5472  4 Pa 2.29-2.34

---

Record 8
Material: Li2DyIn
Method: DFT, PBE
State: relaxed

polymorph energy (0 for the lowest one) = 0.00 kJ per mole of atoms
crystal system = cubic
calculated formation energy = -1.14 eV per formula unit

abc: 4.8455 4.8455 4.8455
angles: 60.00 60.00 60.00
With the nearest neighbours (Å) after each atom.
Sites, in units of the cell vectors:
Li  0.2500  0.2500  0.2500  4 In 2.97, 4 Dy 2.97
Li  0.7500  0.7500  0.7500  4 In 2.97, 4 Dy 2.97
Dy  0.0000  0.0000  0.0000  8 Li 2.97
In  0.5000  0.5000  0.5000  8 Li 2.97